DFT (PBE with a Hubbard U) results for a geometry-optimized Li3V4O8 structure.

The energy comes out at -7.0822 eV/atom.

a = 5.9114 Å, b = 5.9114 Å, c = 10.7064 Å
α = 106.06°, β = 106.06°, γ = 59.89°
Closest atoms and distances in Å follow each position.
Positions (direct):
Li 0.0000 0.5000 0.5000  6 O 2.12-2.19, 2 Li 2.19
Li 0.0668 0.5791 0.7159  4 O 1.86-2.08
Li 0.4209 0.9332 0.7841  4 O 1.86-2.08
Li 0.5000 0.0000 0.0000  6 O 2.12-2.19, 2 Li 2.19
Li 0.5791 0.0668 0.2159  4 O 1.86-2.08
Li 0.9332 0.4209 0.2841  4 O 1.86-2.08
V 0.0000 0.0000 0.0000  6 O 2.01-2.11
V 0.0000 0.0000 0.5000  6 O 2.01-2.11
V 0.0000 0.5000 0.0000  6 O 2.04-2.05
V 0.2532 0.7468 0.2500  6 O 2.07-2.12
V 0.5000 0.0000 0.5000  6 O 2.04-2.05
V 0.5000 0.5000 0.0000  6 O 1.91-2.02
V 0.5000 0.5000 0.5000  6 O 1.91-2.02
V 0.7468 0.2532 0.7500  6 O 2.07-2.12
O 0.1067 0.1373 0.8836  3 V 2.03-2.11, 2 Li 2.04-2.16
O 0.1373 0.1067 0.3836  3 V 2.03-2.11, 2 Li 2.04-2.16
O 0.1475 0.6259 0.3787  3 V 2.02-2.11, 2 Li 2.06-2.19
O 0.1501 0.6293 0.8990  1 Li 1.86, 3 V 1.91-2.05
O 0.3676 0.3862 0.1141  3 V 2.02-2.12, 2 Li 2.08-2.12
O 0.3707 0.8499 0.6010  1 Li 1.86, 3 V 1.91-2.05
O 0.3741 0.8525 0.1213  3 V 2.02-2.11, 2 Li 2.06-2.19
O 0.3862 0.3676 0.6141  3 V 2.02-2.12, 2 Li 2.08-2.12
O 0.6138 0.6324 0.3859  3 V 2.02-2.12, 2 Li 2.08-2.12
O 0.6259 0.1475 0.8787  3 V 2.02-2.11, 2 Li 2.06-2.19
O 0.6293 0.1501 0.3990  1 Li 1.86, 3 V 1.91-2.05
O 0.6324 0.6138 0.8859  3 V 2.02-2.12, 2 Li 2.08-2.12
O 0.8499 0.3707 0.1010  1 Li 1.86, 3 V 1.91-2.05
O 0.8525 0.3741 0.6213  3 V 2.02-2.11, 2 Li 2.06-2.19
O 0.8627 0.8933 0.6164  3 V 2.03-2.11, 2 Li 2.04-2.16
O 0.8933 0.8627 0.1164  3 V 2.03-2.11, 2 Li 2.04-2.16